This record from Alexandria via LeMat-Bulk describes an optimized crystal structure of Y5Ni2Te2. The functional is GGA-PBEsol.

Geometry as POSCAR:
```
Y5Ni2Te2
1.0
-0.5682 -1.8332 -3.4323
-1.9726 -5.1475 5.3286
-13.8613 4.9501 -0.3494
Y Ni Te
10 4 4
Direct
0.0418 0.0836 0.3775
0.9582 0.9164 0.6225
0.9582 0.9164 0.8775
0.0418 0.0836 0.1225
0.2573 0.5147 0.8746
0.7427 0.4853 0.1254
0.7427 0.4853 0.3746
0.2573 0.5147 0.6254
0.3954 0.7908 0.2500
0.6046 0.2092 0.7500
0.5911 0.1823 0.2500
0.4089 0.8177 0.7500
0.1868 0.3735 0.2500
0.8132 0.6265 0.7500
0.3865 0.7730 0.4599
0.6135 0.2270 0.5401
0.6135 0.2270 0.9599
0.3865 0.7730 0.0401
```

## Properties
density	6.3	g cm⁻³
D(E_F)	0.82	states/eV per atom
ΔE_f (raw)	-7.7	eV per formula unit

---

This record from Alexandria via LeMat-Bulk describes an optimized crystal structure of SbAu5. The functional is GGA-PBEsol.

Geometry as POSCAR:
```
SbAu5
1.0
3.5625 0.0000 0.0000
0.0000 3.5625 0.0000
0.0000 0.0000 8.6507
Sb Au
1 5
Direct
0.5000 0.5000 0.0000
0.0000 0.0000 0.8238
0.0000 0.0000 0.1762
0.5000 0.5000 0.6620
0.5000 0.5000 0.3380
0.0000 0.0000 0.5000
```

## Properties
density	16.7	g cm⁻³
D(E_F)	0.20	states/eV per atom
ΔE_f (raw)	0.2	eV per formula unit

---

This record from Alexandria via LeMat-Bulk describes an optimized crystal structure of LiLaCl2. The functional is GGA-PBEsol.

Geometry as POSCAR:
```
LiLaCl2
1.0
3.5970 0.0000 0.0000
1.7985 3.1151 0.0000
1.7985 1.0384 7.1870
Li La Cl
1 1 2
Direct
0.0000 0.0000 0.0000
0.5000 0.5000 0.5000
0.2669 0.2669 0.1992
0.7331 0.7331 0.8008
```

## Properties
density	4.5	g cm⁻³
D(E_F)	0.23	states/eV per atom
ΔE_f (raw)	-6.9	eV per formula unit

---

This record from Alexandria via LeMat-Bulk describes an optimized crystal structure of Sr2FeAs. The functional is GGA-PBEsol.

Geometry as POSCAR:
```
Sr2FeAs
1.0
5.3021 0.0000 0.0000
2.6511 4.5918 0.0000
2.6511 1.5306 4.2604
As Fe Sr
1 1 2
Direct
0.0000 0.0000 0.0000
0.5000 0.5000 0.5000
0.7487 0.7487 0.7538
0.2513 0.2513 0.2462
```

## Properties
density	4.9	g cm⁻³
D(E_F)	0.99	states/eV per atom
formation enthalpy at 0 K	-5	meV per atom